Here is crystalline BaTb2Au2O6 at its relaxed geometry from the Alexandria database. Energies are from PBE.

a b c (Å): 6.870 8.536 7.438
angles (deg): 129.59 103.79 48.52
Element x y z (fractional)
O (0.397, 0.479, 0.810)
O (0.133, 0.364, 0.967)
O (0.603, 0.521, 0.190)
O (0.974, 0.889, 0.559)
O (0.867, 0.636, 0.033)
O (0.026, 0.111, 0.441)
Ba (0.500, 0.000, 0.500)
Tb (0.817, 0.315, 0.816)
Tb (0.183, 0.685, 0.184)
Au (0.186, 0.684, 0.685)
Au (0.814, 0.316, 0.315)



Here is crystalline BaTc2AuO8 at its relaxed geometry from the Alexandria database. Energies are from PBE.

a b c (Å): 5.460 5.460 8.490
angles (deg): 71.24 71.24 60.00
Element x y z (fractional)
Ba (0.000, 0.000, 0.000)
Tc (0.253, 0.253, 0.241)
Tc (0.747, 0.747, 0.759)
O (0.672, 0.672, 0.985)
O (0.447, 0.061, 0.692)
O (0.200, 0.939, 0.308)
O (0.328, 0.328, 0.015)
O (0.553, 0.200, 0.308)
O (0.939, 0.553, 0.308)
O (0.800, 0.447, 0.692)
O (0.061, 0.800, 0.692)
Au (0.500, 0.500, 0.500)



Here is crystalline BaTiAu2O6 at its relaxed geometry from the Alexandria database. Energies are from PBE.

a b c (Å): 6.440 7.968 7.968
angles (deg): 123.90 89.75 89.75
Element x y z (fractional)
O (0.958, 0.465, 0.167)
O (0.926, 0.781, 0.568)
O (0.542, 0.833, 0.535)
O (0.833, 0.872, 0.258)
O (0.042, 0.535, 0.833)
O (0.458, 0.167, 0.465)
O (0.167, 0.128, 0.742)
O (0.074, 0.219, 0.432)
O (0.426, 0.568, 0.781)
O (0.574, 0.432, 0.219)
O (0.667, 0.742, 0.128)
O (0.333, 0.258, 0.872)
Ba (0.750, 0.137, 0.863)
Ba (0.250, 0.863, 0.137)
Ti (0.750, 0.663, 0.337)
Ti (0.250, 0.337, 0.663)
Au (0.734, 0.540, 0.799)
Au (0.766, 0.201, 0.460)
Au (0.266, 0.460, 0.201)
Au (0.234, 0.799, 0.540)



Here is crystalline BaTl2AuO2 at its relaxed geometry from the Alexandria database. Energies are from PBE.

a b c (Å): 6.261 6.896 7.806
angles (deg): 109.86 90.00 90.00
Element x y z (fractional)
Tl (0.250, 0.126, 0.401)
Tl (0.250, 0.598, 0.658)
Tl (0.750, 0.402, 0.342)
Tl (0.750, 0.874, 0.599)
Ba (0.250, 0.163, 0.936)
Ba (0.750, 0.837, 0.064)
Au (0.750, 0.310, 0.673)
Au (0.250, 0.690, 0.327)
O (0.995, 0.162, 0.200)
O (0.005, 0.838, 0.800)
O (0.495, 0.838, 0.800)
O (0.505, 0.162, 0.200)



Here is crystalline BaTlAuO4 at its relaxed geometry from the Alexandria database. Energies are from PBE.

a b c (Å): 6.142 6.142 7.742
angles (deg): 90.00 90.00 112.49
Each line ends with the local moment (μB).
Element x y z (fractional)
O (0.768, 0.232, 0.498)  0.07
O (0.791, 0.746, 0.250)  0.03
O (0.768, 0.232, 0.002)  0.07
O (0.746, 0.791, 0.750)  0.03
O (0.232, 0.768, 0.998)  0.07
O (0.232, 0.768, 0.502)  0.07
O (0.254, 0.209, 0.250)  0.03
O (0.209, 0.254, 0.750)  0.03
Au (0.813, 0.187, 0.750)  0.06
Au (0.187, 0.813, 0.250)  0.06
Tl (0.873, 0.127, 0.250)  0.00
Tl (0.127, 0.873, 0.750)  0.00
Ba (0.500, 0.500, 0.500)  0.00
Ba (0.500, 0.500, 0.000)  0.00



Here is crystalline BaTl2AuO at its relaxed geometry from the Alexandria database. Energies are from PBE.

a b c (Å): 6.937 6.937 5.914
angles (deg): 90.00 90.00 90.00
Element x y z (fractional)
O (0.500, 0.500, 0.500)
Ba (0.000, 0.000, 0.000)
Tl (0.000, 0.500, 0.000)
Tl (0.500, 0.000, 0.000)
Au (0.000, 0.000, 0.500)



| no. | spin magnetization (μB per atom) | energy (eV/atom) |
| --- | --- | --- |
| 1 | 0.000 | -6.361 |
| 2 | 0.000 | -6.820 |
| 3 | 0.000 | -5.997 |
| 4 | 0.000 | -4.245 |
| 5 | 0.043 | -4.668 |
| 6 | 0.000 | -2.070 |